Version w
Here is AcEr2Be after structural relaxation from Alexandria via LeMat-Bulk. Energies are from PBE.

Lattice parameters (Å, degrees): 3.522 3.522 9.002 90.00 90.00 90.00
Atoms (fractional coordinates):
Er: 0.000 0.000 0.821
Er: 0.000 0.000 0.179
Ac: 0.500 0.500 0.500
Be: 0.500 0.500 0.000


Version x
Here is AcEr2Be after structural relaxation from Alexandria via LeMat-Bulk. Energies are from PBE.

Lattice parameters (Å, degrees): 3.588 3.588 11.140 80.73 80.73 60.00
Atoms (fractional coordinates):
Be: 0.500 0.500 0.500
Ac: 0.000 0.000 0.000
Er: 0.890 0.890 0.331
Er: 0.110 0.110 0.669


version w is favored, and the nearest alternative lies 246 meV per atom above it.


Version w
Here is AcBeGa after structural relaxation from Alexandria via LeMat-Bulk. Energies are from PBE.

Lattice parameters (Å, degrees): 4.659 4.184 4.184 120.00 90.00 90.00
Atoms (fractional coordinates):
Ga: 0.167 0.000 0.000
Ac: 0.667 0.333 0.667
Be: 0.166 0.667 0.333


Version x
Here is AcBeGa after structural relaxation from Alexandria via LeMat-Bulk. Energies are from PBE.

Lattice parameters (Å, degrees): 3.429 3.429 6.246 105.93 105.93 90.00
Atoms (fractional coordinates):
Be: 0.700 0.700 0.400
Ga: 0.295 0.295 0.590
Ac: 0.005 0.005 0.010


version w is favored, and the nearest alternative lies 382 meV per atom above it.


Version w
Here is Ac2BeGa3 after structural relaxation from Alexandria via LeMat-Bulk. Energies are from PBE.

Lattice parameters (Å, degrees): 4.656 4.314 7.460 90.00 90.00 90.00
Atoms (fractional coordinates):
Ga: 0.500 0.000 0.184
Ga: 0.500 0.000 0.836
Ga: 0.500 0.500 0.649
Be: 0.500 0.500 0.330
Ac: 0.000 0.500 0.003
Ac: 0.000 0.000 0.499


Version x
Here is Ac2BeGa3 after structural relaxation from Alexandria via LeMat-Bulk. Energies are from PBE.

Lattice parameters (Å, degrees): 6.344 6.344 8.799 112.88 112.88 85.50
Atoms (fractional coordinates):
Be: 0.667 0.667 0.334
Be: 0.333 0.333 0.666
Ac: 0.758 0.758 0.000
Ac: 0.250 0.750 0.500
Ac: 0.242 0.242 0.000
Ac: 0.750 0.250 0.500
Ga: 0.824 0.351 0.174
Ga: 0.174 0.174 0.347
Ga: 0.176 0.649 0.826
Ga: 0.826 0.826 0.653
Ga: 0.351 0.824 0.174
Ga: 0.649 0.176 0.826


version x is favored, and the nearest alternative lies 6 meV per atom above it.